(1)
6
Lattice="-1.582 -5.145 0.285 3.601 -3.964 -0.611 1.421 -3.026 4.228" Properties=species:S:1:pos:R:3 comment="Ta4PSe (meta-GGA SCAN, PBEsol geometry)" m_tot_mub_per_atom=0.00 total_energy_ev_per_cell=-292.6 volume_a3_per_cell=110.8 mass_density_g_cm3=12.50 spacegroup="No. 216" pbc="T T T"
P 0.860 -3.034 0.975
Se 0.000 0.000 0.000
Ta 1.440 -6.072 0.327
Ta 2.939 -5.014 2.296
Ta 0.352 -5.603 2.743
Ta 2.150 -7.583 2.438



(2)
4
Lattice="-1.138 0.440 2.919 -3.106 -0.261 0.543 -0.284 -9.485 3.033" Properties=species:S:1:pos:R:3 comment="Ca2WAu (meta-GGA SCAN, PBEsol geometry)" formation_enthalpy_0k_ev_per_atom=0.554 m_tot_mub_per_atom=0.00 volume_a3_per_cell=84.9 mass_density_g_cm3=9.02 spacegroup="No. 166" pbc="T T T"
Ca -1.137 -2.281 1.615
Ca -3.390 -7.024 4.880
Au 0.000 0.000 0.000
W -2.264 -4.653 3.248